Record 1
VWC | PBE | optimized geometry

Lattice parameters (Å, degrees): 2.710 2.710 9.506 90.00 90.00 90.00
Fractional coordinates of all 6 atoms:
V1 0.250 0.250 0.116
V2 0.750 0.750 0.884
W1 0.250 0.250 0.377
W2 0.750 0.750 0.623
C1 0.250 0.250 0.750
C2 0.750 0.750 0.250

Calculated values
Its total magnetic moment is 0.00 μB/cell. Its offset from the most stable computed form is 608 meV per atom. As for the symmetry: P4/nmm.



Record 2
VW3C | PBE | optimized geometry

Lattice parameters (Å, degrees): 4.505 4.505 4.505 90.00 90.00 90.00
Fractional coordinates of all 5 atoms:
V1 0.000 0.000 0.000
W1 0.000 0.000 0.500
W2 0.000 0.500 0.000
W3 0.500 0.000 0.000
C1 0.500 0.500 0.500

Calculated values
Its total magnetic moment is 0.00 μB/cell. Its offset from the most stable computed form is 2685 meV per atom. As for the symmetry: Pm-3m.



Record 3
V2WC | PBE | optimized geometry

Lattice parameters (Å, degrees): 7.105 7.105 7.105 23.24 23.24 23.24
Fractional coordinates of all 4 atoms:
V1 0.222 0.222 0.222
V2 0.778 0.778 0.778
W1 0.000 0.000 0.000
C1 0.500 0.500 0.500

Calculated values
Its total magnetic moment is 0.00 μB/cell. As for the symmetry: R-3m.



Record 4
V2WC | PBE | optimized geometry

Lattice parameters (Å, degrees): 2.972 2.972 5.381 90.00 90.00 90.00
Fractional coordinates of all 4 atoms:
V1 0.000 0.000 0.202
V2 0.000 0.000 0.798
W1 0.500 0.500 0.500
C1 0.500 0.500 0.000

Calculated values
Its total magnetic moment is 0.00 μB/cell. As for the symmetry: P4/mmm.



Record 5
VWC | PBE | optimized geometry

Lattice parameters (Å, degrees): 5.118 5.118 5.118 149.37 149.37 43.87
Fractional coordinates of all 3 atoms:
V1 0.000 0.000 0.000
W1 0.739 0.739 0.000
C1 0.369 0.369 0.000

Calculated values
Its total magnetic moment is 0.00 μB/cell. Its offset from the most stable computed form is 588 meV per atom. As for the symmetry: I4mm.



Record 6
VW2C | PBE | optimized geometry

Lattice parameters (Å, degrees): 7.995 7.995 7.995 20.68 20.68 20.68
Fractional coordinates of all 4 atoms:
V1 0.000 0.000 0.000
W1 0.109 0.109 0.109
W2 0.891 0.891 0.891
C1 0.500 0.500 0.500

Calculated values
Its total magnetic moment is 0.00 μB/cell. As for the symmetry: R-3m.



Record 7
VWC | PBE | optimized geometry

Lattice parameters (Å, degrees): 2.985 2.985 4.599 90.00 90.00 120.00
Fractional coordinates of all 3 atoms:
V1 0.000 0.000 0.000
W1 0.667 0.333 0.495
C1 0.333 0.667 0.765

Calculated values
Its total magnetic moment is 0.00 μB/cell. Its offset from the most stable computed form is 0 meV per atom. As for the symmetry: P3m1.



Record 8
Y2V2C3 | PBE | optimized geometry

Lattice parameters (Å, degrees): 6.011 6.011 5.631 111.81 111.81 32.10
Fractional coordinates of all 7 atoms:
Y1 0.106 0.106 0.325
Y2 0.894 0.894 0.675
V1 0.341 0.341 0.174
V2 0.659 0.659 0.826
C1 0.250 0.250 0.781
C2 0.500 0.500 0.500
C3 0.750 0.750 0.219

Calculated values
Its total magnetic moment is 0.00 μB/cell. As for the symmetry: C2/m.



Here are the calculated ΔH_f (0 K) numbers, same order: 0.3220; 2.9128; -0.2520; 0.3327; 0.3022; 0.6096; -0.2861; -0.4034 (eV per atom).
Here are the calculated calculated density numbers, same order: 11.7; 11.2; 10.1; 10.4; 11.8; 12.8; 11.5; 5.3 (g/cm3).
Here are the calculated VASP energy numbers, same order: -10.110; -8.528; -10.356; -9.771; -10.130; -10.453; -10.718; -8.809 (eV per atom).